MnZn12Au6, optimized geometry, DFT PBE; energy of formation = -0.1407 eV per atom; space-group type = R-3 (148)
1.0
4.772 2.755 3.900
-4.772 2.755 3.900
0.000 -5.510 3.900
Mn Zn Au
1 12 6
Cartesian
0.000 0.000 0.000
-0.443 -1.497 2.181
-1.075 1.133 2.181
-1.233 -1.238 4.792
1.518 0.365 2.181
-1.689 0.449 6.908
-0.456 1.687 4.792
0.456 -1.687 6.908
1.689 -0.449 4.792
-1.518 -0.365 9.518
1.233 1.238 6.908
1.075 -1.133 9.518
0.443 1.497 9.518
-2.917 0.744 4.458
-2.103 -2.154 7.242
0.814 -2.898 4.458
-0.814 2.898 7.242
2.103 2.154 4.458
2.917 -0.744 7.242